{"formula": "CsDyVBr6", "functional": "PBE", "state": "optimized geometry", "lattice": [[7.0604, 0.0000, 0.0000], [-3.5302, 6.1145, 0.0000], [0.0000, 0.0000, 8.3205]], "species": ["Cs", "Dy", "V", "Br", "Br", "Br", "Br", "Br", "Br"], "fractional_positions": [[0.0000, 0.0000, 0.0000], [0.6667, 0.3333, 0.5000], [0.3333, 0.6667, 0.5000], [0.0166, 0.3759, 0.6887], [0.0166, 0.6406, 0.3113], [0.3594, 0.3759, 0.3113], [0.3594, 0.9834, 0.6887], [0.6241, 0.6406, 0.6887], [0.6241, 0.9834, 0.3113]], "e_form_raw_ev_per_fu": -13.667, "final_energy_ev_per_atom": -4.253}